Record 1
A plane-wave DFT calculation with PBE-GGA was carried out for an optimized crystal structure of MnBeHRh2.

The structure in POSCAR format:
```
MnBeHRh2
1.0
-1.1611 -3.8428 0.1454
2.4452 -0.6205 3.1261
-2.4124 0.8064 2.0470
Be H Rh Mn
1 1 2 1
Cartesian
-1.2062 0.4032 1.0235
0.0000 0.0000 0.0000
1.2226 -0.3102 1.5631
-0.5805 -1.9214 0.0727
-0.5642 -1.8284 2.6593
```

Calculated values
* crystal system: tetragonal
* symmetry: No. 123
* polymorph energy (0 for the lowest one): 0.000 eV per atom


Record 2
A plane-wave DFT calculation with PBE-GGA was carried out for an optimized crystal structure of Pm2NpNiS5.

The structure in POSCAR format:
```
Pm2NpNiS5
1.0
3.8383 0.0000 0.0000
-1.9191 8.2223 0.0000
0.0000 0.0000 11.8784
Pm Ni S Np
4 2 10 2
Cartesian
0.0000 1.9120 8.2560
1.9191 6.3719 10.0765
1.9191 6.3104 2.3168
0.0000 1.8504 4.1373
1.9191 0.8547 10.9302
0.0000 7.3676 4.9910
0.0000 4.9727 8.1989
0.0000 0.2979 0.1147
0.0000 5.6502 0.2439
1.9191 7.9244 6.0539
1.9191 0.0808 2.9615
0.0000 8.1416 8.9007
0.0000 5.1999 4.3221
1.9191 2.5721 6.1831
1.9191 3.2496 2.2597
1.9191 3.0225 10.2613
0.0000 2.9179 0.3188
1.9191 5.3045 6.2580
```

Calculated values
* crystal system: orthorhombic
* symmetry: No. 36
* formation energy without anion corrections: -14.05 eV per formula unit


Record 3
A plane-wave DFT calculation with PBE-GGA was carried out for an optimized crystal structure of Ba2TbAlO5.

The structure in POSCAR format:
```
Ba2TbAlO5
1.0
3.4882 0.0000 0.0000
-1.7441 7.5781 0.0000
0.0000 0.0000 11.6077
O Tb Ba Al
10 2 4 2
Cartesian
0.0000 0.5691 11.5075
1.7441 2.3691 5.9018
1.7441 2.5619 10.5202
0.0000 5.2091 0.0979
0.0000 7.5373 9.2014
1.7441 3.1665 1.8758
1.7441 0.0408 3.3975
0.0000 5.0163 4.7164
0.0000 4.4116 7.6796
1.7441 7.0091 5.7036
0.0000 3.0688 0.4132
1.7441 4.5094 6.2170
0.0000 1.5925 7.8004
0.0000 2.0683 3.8308
1.7441 5.9856 1.9965
1.7441 5.5098 9.6346
1.7441 0.7791 10.7481
0.0000 6.7990 4.9442
```

Calculated values
* crystal system: orthorhombic
* symmetry: No. 36
* formation energy without anion corrections: -26.29 eV per formula unit


Record 4
A plane-wave DFT calculation with PBE-GGA was carried out for an optimized crystal structure of Tb2Ce3SmP6.

The structure in POSCAR format:
```
Tb2Ce3SmP6
1.0
7.0525 -0.0016 0.0003
-3.5259 6.1078 0.0003
-1.1761 -2.0364 6.6381
Tb Sm Ce P
2 1 3 6
Cartesian
3.5281 2.0339 0.0003
-0.0016 4.0724 0.0003
0.0000 0.0000 0.0000
1.1752 2.0349 3.3193
-2.3562 4.0745 3.3193
4.7067 -0.0046 3.3193
3.5355 2.0170 4.9762
2.3409 4.0533 1.6593
-1.1850 2.0528 1.6624
0.0096 0.0166 4.9793
-0.0198 4.0703 4.9762
2.3703 -0.0005 1.6624
```

Calculated values
* crystal system: monoclinic
* energy relative to the elements: -1.554 eV/atom
* symmetry: No. 12


Record 5
A plane-wave DFT calculation with PBE-GGA was carried out for an optimized crystal structure of Ta2SiCl.

The structure in POSCAR format:
```
Ta2SiCl
1.0
-2.9726 2.9440 -1.9307
-3.3897 -1.5814 -2.6908
-4.3664 0.1566 1.4632
Cl Ta Si
1 2 1
Cartesian
-5.3643 0.7597 -1.5791
-2.6822 0.3798 -0.7896
0.0000 0.0000 0.0000
-8.0465 1.1395 -2.3687
```

Calculated values
* crystal system: cubic
* symmetry: No. 216
* formation energy without anion corrections: 2.65 eV per formula unit
* polymorph energy (0 for the lowest one): 0.754 eV per atom


Record 6
A plane-wave DFT calculation with PBE-GGA was carried out for an optimized crystal structure of La2Tb7Y.

The structure in POSCAR format:
```
La2Tb7Y
1.0
8.7448 -2.0129 -0.7689
-3.7948 5.1156 -2.0110
0.1588 1.1982 8.3738
Y Tb La
1 7 2
Cartesian
0.0000 0.0000 0.0000
5.7233 0.1256 -0.3472
-0.6145 4.1753 5.9411
2.4750 1.5514 -1.3900
2.9960 1.0080 1.7129
7.4048 -0.6161 2.7580
-2.2960 4.9170 2.8359
2.1128 3.2928 3.8810
4.8803 1.0516 4.6197
0.2285 3.2493 0.9742
```

Calculated values
* crystal system: triclinic
* energy relative to the elements: 0.166 eV/atom
* symmetry: No. 2
* polymorph energy (0 for the lowest one): 0.013 eV per atom